No. 1
Tm12Rh6Pb: optimized geometry, PBE.

Space-group type   Im-3
Energy of formation from the pure elements   -651 meV/atom

Lattice parameters (Å, degrees): 8.460 8.460 8.460 109.47 109.47 109.47
Element x y z (fractional)
Tm1 0.109 0.809 0.300
Tm2 0.191 0.300 0.491
Tm3 0.191 0.700 0.891
Tm4 0.300 0.109 0.809
Tm5 0.300 0.491 0.191
Tm6 0.491 0.191 0.300
Tm7 0.509 0.809 0.700
Tm8 0.700 0.509 0.809
Tm9 0.700 0.891 0.191
Tm10 0.809 0.300 0.109
Tm11 0.809 0.700 0.509
Tm12 0.891 0.191 0.700
Rh1 0.130 0.630 0.500
Rh2 0.370 0.500 0.870
Rh3 0.500 0.130 0.630
Rh4 0.500 0.870 0.370
Rh5 0.630 0.500 0.130
Rh6 0.870 0.370 0.500
Pb1 0.000 0.000 0.000

---

No. 2
Tm5RhPb4: optimized geometry, PBE.

Space-group type   I4
Energy of formation from the pure elements   -353 meV/atom

Lattice parameters (Å, degrees): 7.448 7.448 7.448 99.83 99.83 131.19
Element x y z (fractional)
Tm1 0.000 0.000 0.000
Tm2 0.150 0.296 0.641
Tm3 0.296 0.655 0.147
Tm4 0.509 0.150 0.853
Tm5 0.655 0.509 0.359
Rh1 0.487 0.487 0.000
Pb1 0.220 0.971 0.392
Pb2 0.580 0.829 0.608
Pb3 0.829 0.220 0.249
Pb4 0.971 0.580 0.751

---

No. 3
Tm3RhPb: optimized geometry, PBE.

ΔE to the lowest computed polymorph   0.788 eV per formula unit
Space-group type   Pm-3m
Energy of formation from the pure elements   -431 meV/atom

Lattice parameters (Å, degrees): 5.261 5.261 5.261 90.00 90.00 90.00
Element x y z (fractional)
Tm1 0.000 0.000 0.500
Tm2 0.000 0.500 0.000
Tm3 0.500 0.000 0.000
Rh1 0.000 0.000 0.000
Pb1 0.500 0.500 0.500

---

No. 4
Tm3Rh4Pb: optimized geometry, PBE.

Space-group type   R-3m
Energy of formation from the pure elements   -778 meV/atom

Lattice parameters (Å, degrees): 8.256 8.256 8.256 33.43 33.43 33.43
Element x y z (fractional)
Tm1 0.000 0.000 0.000
Tm2 0.247 0.247 0.247
Tm3 0.753 0.753 0.753
Rh1 0.122 0.122 0.122
Rh2 0.374 0.374 0.374
Rh3 0.626 0.626 0.626
Rh4 0.878 0.878 0.878
Pb1 0.500 0.500 0.500

---

No. 5
Tm4RhPb2: optimized geometry, PBE.

ΔE to the lowest computed polymorph   0.459 eV per formula unit
Space-group type   P2_1/m
Energy of formation from the pure elements   -473 meV/atom

Lattice parameters (Å, degrees): 7.058 6.555 8.455 90.00 105.38 90.00
Element x y z (fractional)
Tm1 0.137 0.006 0.298
Tm2 0.137 0.494 0.298
Tm3 0.305 0.250 0.925
Tm4 0.311 0.750 0.668
Tm5 0.689 0.250 0.332
Tm6 0.695 0.750 0.075
Tm7 0.863 0.506 0.702
Tm8 0.863 0.994 0.702
Rh1 0.070 0.250 0.568
Rh2 0.930 0.750 0.432
Pb1 0.196 0.750 0.990
Pb2 0.468 0.250 0.609
Pb3 0.532 0.750 0.391
Pb4 0.804 0.250 0.010

---

No. 6
Tm3RhPb2: optimized geometry, PBE.

ΔE to the lowest computed polymorph   0.620 eV per formula unit
Space-group type   C2/c
Energy of formation from the pure elements   -485 meV/atom

Lattice parameters (Å, degrees): 7.995 7.995 7.008 103.92 103.92 45.51
Element x y z (fractional)
Tm1 0.175 0.825 0.750
Tm2 0.280 0.422 0.393
Tm3 0.422 0.280 0.893
Tm4 0.578 0.720 0.107
Tm5 0.720 0.578 0.607
Tm6 0.825 0.175 0.250
Rh1 0.366 0.634 0.250
Rh2 0.634 0.366 0.750
Pb1 0.085 0.240 0.034
Pb2 0.240 0.085 0.534
Pb3 0.760 0.915 0.466
Pb4 0.915 0.760 0.966

---

No. 7
TmRh2Pb2: optimized geometry, PBE.

Space-group type   Pmmn
Energy of formation from the pure elements   -452 meV/atom

Lattice parameters (Å, degrees): 4.575 4.694 10.282 90.00 90.00 90.00
Element x y z (fractional)
Tm1 0.250 0.250 0.171
Tm2 0.750 0.750 0.829
Rh1 0.250 0.750 0.001
Rh2 0.250 0.750 0.324
Rh3 0.750 0.250 0.676
Rh4 0.750 0.250 0.999
Pb1 0.250 0.250 0.494
Pb2 0.250 0.250 0.827
Pb3 0.750 0.750 0.173
Pb4 0.750 0.750 0.506

---

No. 8
YTmRhPb: optimized geometry, PBE.

ΔE to the lowest computed polymorph   0.000 eV per formula unit
Space-group type   P4mm
Energy of formation from the pure elements   -694 meV/atom

Lattice parameters (Å, degrees): 3.475 3.475 7.964 90.00 90.00 90.00
Element x y z (fractional)
Y1 0.000 0.000 0.000
Tm1 0.000 0.000 0.586
Rh1 0.500 0.500 0.784
Pb1 0.500 0.500 0.296

---

No. 9
YTmRhPb: optimized geometry, PBE.

ΔE to the lowest computed polymorph   0.648 eV per formula unit
Space-group type   F-43m
Energy of formation from the pure elements   -532 meV/atom

Lattice parameters (Å, degrees): 5.119 5.119 5.119 60.00 60.00 60.00
Element x y z (fractional)
Y1 0.000 0.000 0.000
Tm1 0.500 0.500 0.500
Rh1 0.750 0.750 0.750
Pb1 0.250 0.250 0.250

---

No. 10
URhPb: optimized geometry, PBE.

Space-group type   P4_2/m
Energy of formation from the pure elements   -75 meV/atom

Lattice parameters (Å, degrees): 9.080 9.080 3.426 90.00 90.00 90.00
Element x y z (fractional)
U1 0.084 0.843 0.000
U2 0.157 0.084 0.500
U3 0.843 0.916 0.500
U4 0.916 0.157 0.000
Rh1 0.087 0.626 0.500
Rh2 0.374 0.087 0.000
Rh3 0.626 0.913 0.000
Rh4 0.913 0.374 0.500
Pb1 0.214 0.398 0.000
Pb2 0.398 0.786 0.500
Pb3 0.602 0.214 0.500
Pb4 0.786 0.602 0.000

---

No. 11
URh2Pb: optimized geometry, PBE.

Space-group type   P4/mmm
Energy of formation from the pure elements   -251 meV/atom

Lattice parameters (Å, degrees): 3.386 3.386 7.081 90.00 90.00 90.00
Element x y z (fractional)
U1 0.000 0.000 0.000
Rh1 0.500 0.500 0.214
Rh2 0.500 0.500 0.786
Pb1 0.000 0.000 0.500

---

No. 12
V3RhPb: optimized geometry, PBE.

ΔE to the lowest computed polymorph   0.000 eV per formula unit
Space-group type   Pm-3m
Energy of formation from the pure elements   848 meV/atom

Lattice parameters (Å, degrees): 4.631 4.631 4.631 90.00 90.00 90.00
Element x y z (fractional)
V1 0.000 0.000 0.500
V2 0.000 0.500 0.000
V3 0.500 0.000 0.000
Rh1 0.000 0.000 0.000
Pb1 0.500 0.500 0.500

---

No. 13
V2RhPb: optimized geometry, PBE.

Space-group type   I-42d
Energy of formation from the pure elements   474 meV/atom

Lattice parameters (Å, degrees): 5.790 5.790 5.790 103.01 103.01 123.36
Element x y z (fractional)
V1 0.082 0.625 0.957
V2 0.375 0.332 0.457
V3 0.668 0.125 0.043
V4 0.875 0.918 0.543
Rh1 0.000 0.000 0.000
Rh2 0.750 0.250 0.500
Pb1 0.250 0.750 0.500
Pb2 0.500 0.500 0.000

---

No. 14
VRhPb: optimized geometry, PBE.

Space-group type   Amm2
Energy of formation from the pure elements   300 meV/atom

Lattice parameters (Å, degrees): 12.239 3.224 3.224 60.07 90.00 90.00
Element x y z (fractional)
V1 0.137 0.000 0.000
V2 0.863 0.000 0.000
Rh1 0.000 0.666 0.666
Rh2 0.500 0.001 0.001
Pb1 0.328 0.667 0.667
Pb2 0.672 0.667 0.667

---

No. 15
VRh3Pb: optimized geometry, PBE.

ΔE to the lowest computed polymorph   5.305 eV per formula unit
Space-group type   Pm-3m
Energy of formation from the pure elements   1559 meV/atom

Lattice parameters (Å, degrees): 4.913 4.913 4.913 90.00 90.00 90.00
Element x y z (fractional)
V1 0.000 0.000 0.000
Rh1 0.000 0.500 0.500
Rh2 0.500 0.000 0.500
Rh3 0.500 0.500 0.000
Pb1 0.500 0.500 0.500

---

No. 16
VRh3Pb: optimized geometry, PBE.

ΔE to the lowest computed polymorph   0.000 eV per formula unit
Space-group type   Pm-3m
Energy of formation from the pure elements   498 meV/atom

Lattice parameters (Å, degrees): 4.573 4.573 4.573 90.00 90.00 90.00
Element x y z (fractional)
V1 0.000 0.000 0.000
Rh1 0.000 0.000 0.500
Rh2 0.000 0.500 0.000
Rh3 0.500 0.000 0.000
Pb1 0.500 0.500 0.500

---

No. 17
VRhPbW2: optimized geometry, PBE.

Space-group type   P4/mmm
Energy of formation from the pure elements   1369 meV/atom

Lattice parameters (Å, degrees): 4.632 4.632 4.572 90.00 90.00 90.00
Element x y z (fractional)
V1 0.000 0.000 0.000
Rh1 0.000 0.000 0.500
Pb1 0.500 0.500 0.500
W1 0.000 0.500 0.000
W2 0.500 0.000 0.000

---

No. 18
RhPb2W: optimized geometry, PBE.

ΔE to the lowest computed polymorph   1.603 eV per formula unit
Space-group type   P4/mmm
Energy of formation from the pure elements   673 meV/atom

Lattice parameters (Å, degrees): 4.791 4.791 3.399 90.00 90.00 90.00
Element x y z (fractional)
Rh1 0.000 0.000 0.000
Pb1 0.000 0.500 0.500
Pb2 0.500 0.000 0.500
W1 0.500 0.500 0.000

---

No. 19
RhPb2W: optimized geometry, PBE.

ΔE to the lowest computed polymorph   1.433 eV per formula unit
Space-group type   Imm2
Energy of formation from the pure elements   630 meV/atom

Lattice parameters (Å, degrees): 6.340 6.340 6.340 152.09 133.73 54.90
Element x y z (fractional)
Rh1 0.000 0.000 0.000
Pb1 0.249 0.749 0.500
Pb2 0.547 0.547 0.000
W1 0.817 0.317 0.500

---

No. 20
RhPbW4: optimized geometry, PBE.

Space-group type   F-43m
Energy of formation from the pure elements   733 meV/atom

Lattice parameters (Å, degrees): 5.347 5.347 5.347 60.00 60.00 60.00
Element x y z (fractional)
Rh1 0.000 0.000 0.000
Pb1 0.250 0.250 0.250
W1 0.125 0.625 0.625
W2 0.625 0.125 0.625
W3 0.625 0.625 0.125
W4 0.625 0.625 0.625

---

No. 21
RhPb2W: optimized geometry, PBE.

ΔE to the lowest computed polymorph   3.026 eV per formula unit
Space-group type   I-42d
Energy of formation from the pure elements   1028 meV/atom

Lattice parameters (Å, degrees): 10.089 10.089 10.089 155.54 155.54 34.87
Element x y z (fractional)
Rh1 0.000 0.000 0.000
Rh2 0.750 0.250 0.500
Pb1 0.123 0.625 0.998
Pb2 0.375 0.373 0.498
Pb3 0.627 0.125 0.002
Pb4 0.875 0.877 0.502
W1 0.250 0.750 0.500
W2 0.500 0.500 0.000

---

No. 22
RhPbW2: optimized geometry, PBE.

Space-group type   I-42d
Energy of formation from the pure elements   903 meV/atom

Lattice parameters (Å, degrees): 10.553 10.553 10.553 159.11 159.11 29.72
Element x y z (fractional)
Rh1 0.000 0.000 0.000
Rh2 0.750 0.250 0.500
Pb1 0.250 0.750 0.500
Pb2 0.500 0.500 0.000
W1 0.119 0.625 0.994
W2 0.375 0.369 0.494
W3 0.631 0.125 0.006
W4 0.875 0.881 0.506

---

No. 23
RhPbW2: optimized geometry, PBE.

Space-group type   F-43m
Energy of formation from the pure elements   664 meV/atom

Lattice parameters (Å, degrees): 4.617 4.617 4.617 60.00 60.00 60.00
Element x y z (fractional)
Rh1 0.000 0.000 0.000
Pb1 0.750 0.750 0.750
W1 0.250 0.250 0.250
W2 0.500 0.500 0.500

---

No. 24
RhPbW2: optimized geometry, PBE.

Space-group type   R-3m
Energy of formation from the pure elements   667 meV/atom

Lattice parameters (Å, degrees): 9.772 9.772 9.772 17.27 17.27 17.27
Element x y z (fractional)
Rh1 0.000 0.000 0.000
Pb1 0.500 0.500 0.500
W1 0.259 0.259 0.259
W2 0.741 0.741 0.741

---

No. 25
RhPb2W: optimized geometry, PBE.

ΔE to the lowest computed polymorph   2.165 eV per formula unit
Space-group type   P2/m
Energy of formation from the pure elements   813 meV/atom

Lattice parameters (Å, degrees): 3.096 4.505 5.863 90.00 93.09 90.00
Element x y z (fractional)
Rh1 0.000 0.000 0.000
Pb1 0.216 0.500 0.753
Pb2 0.784 0.500 0.247
W1 0.500 0.000 0.500

---

No. 26
RhPbW2: optimized geometry, PBE.

Space-group type   P4mm
Energy of formation from the pure elements   447 meV/atom

Lattice parameters (Å, degrees): 3.184 3.184 7.222 90.00 90.00 90.00
Element x y z (fractional)
Rh1 0.000 0.000 0.000
Pb1 0.500 0.500 0.720
W1 0.000 0.000 0.416
W2 0.500 0.500 0.216